[1]
VASP calculation (PBE-GGA) on a geometry-optimized K2LiVRu structure.

POSCAR file:
```
K2LiVRu
1.0
6.489 0.000 0.000
0.000 4.446 0.000
0.000 0.000 6.489
Ru K Li V
1 2 1 1
direct
0.000 0.000 0.000
0.000 0.000 0.500
0.500 0.000 0.000
0.500 0.500 0.500
0.000 0.500 0.000
```

N(E_F): 3.84 states/eV/cell
crystal system: tetragonal
raw total energy: -0.1311 Ha/atom
formation enthalpy at 0 K: 4.671 eV/f.u.

---

[2]
VASP calculation (PBE-GGA) on a geometry-optimized ZnInAg2 structure.

POSCAR file:
```
ZnInAg2
1.0
4.471 0.000 0.000
0.000 2.974 0.162
0.000 1.769 5.766
Ag In Zn
2 1 1
direct
0.000 0.888 0.981
0.000 0.612 0.519
0.500 0.250 0.250
0.500 0.750 0.750
```

N(E_F): 1.33 states/eV/cell
crystal system: monoclinic
raw total energy: -0.0878 Ha/atom
formation enthalpy at 0 K: 0.155 eV/f.u.

---

Question: Number 1 is which compound?
Answer: K2LiVRu

---

Question: Which of these has the highest raw total energy?
Answer: ZnInAg2

---

Question: Which of these has the lowest raw total energy?
Answer: K2LiVRu